[1]
YLuAgIr | PBE | relaxed

Output
Crystal system: cubic

Unit cell a=4.929 b=4.929 c=4.929 alpha=60.00 beta=60.00 gamma=60.00
Element x y z (fractional)
Y (0.750, 0.750, 0.750)
Ag (0.000, 0.000, 0.000)
Lu (0.250, 0.250, 0.250)
Ir (0.500, 0.500, 0.500)


[2]
LuZnAgIr | PBE | relaxed

Output
Crystal system: cubic

Unit cell a=4.644 b=4.644 c=4.644 alpha=60.00 beta=60.00 gamma=60.00
Element x y z (fractional)
Ir (0.000, 0.000, 0.000)
Ag (0.500, 0.500, 0.500)
Zn (0.250, 0.250, 0.250)
Lu (0.750, 0.750, 0.750)


| no. | total moment (μB/f.u.) | DFT total energy (eV/cell) |
| --- | --- | --- |
| 1 | 0.0 | -25.2 |
| 2 | 0.0 | -19.1 |